DFT (PBE+U) results for a relaxed ZrCrO4 crystal.

Lattice parameters (Å, degrees): 4.784 11.775 4.939 90.56 90.01 89.44
Last column: magnetic moment on the atom in μB.
Fractional coordinates of all 24 atoms:
Zr (0.988, 0.166, 0.256)  0.03
O (0.281, 0.186, 0.904)  -0.10
O (0.220, 0.315, 0.408)  -0.09
Zr (0.500, 0.666, 0.271)  0.03
Zr (0.998, 0.834, 0.733)  0.03
O (0.719, 0.948, 0.565)  -0.04
O (0.227, 0.446, 0.936)  -0.04
Cr (0.007, 0.570, 0.766)  2.19
O (0.268, 0.949, 0.935)  -0.07
O (0.276, 0.812, 0.409)  -0.01
O (0.717, 0.814, 0.090)  -0.10
O (0.778, 0.689, 0.593)  -0.01
O (0.782, 0.311, 0.085)  -0.01
Zr (0.515, 0.334, 0.759)  0.03
O (0.719, 0.188, 0.582)  -0.01
Cr (0.489, 0.070, 0.752)  2.17
O (0.775, 0.551, 0.067)  -0.08
O (0.727, 0.051, 0.054)  -0.07
Cr (0.503, 0.930, 0.236)  2.18
Cr (0.009, 0.430, 0.261)  2.17
O (0.777, 0.450, 0.564)  -0.07
O (0.227, 0.553, 0.437)  -0.03
O (0.219, 0.685, 0.912)  -0.10
O (0.276, 0.053, 0.425)  -0.04

Values from the calculation:
As for the crystal system: triclinic. The calculation puts the final energy at -0.617 Ry/atom.